Entry 1:
# PBE Os3W4, optimized geometry
data_Os3W4
_chemical_formula_sum 'Os6 W8'
_cell_length_a 3.212
_cell_length_b 3.212
_cell_length_c 21.258
_cell_angle_alpha 90.00
_cell_angle_beta 90.00
_cell_angle_gamma 90.00
_space_group_name_H-M_alt 'I 4/m m m'
_space_group_IT_number 139
_space_group_name_Hall '-I 4 2'
loop_
_atom_site_label
_atom_site_fract_x
_atom_site_fract_y
_atom_site_fract_z
_atom_site_occupancy
Os1 0.000 0.000 0.000 1
Os2 0.000 0.000 0.291 1
W1 0.000 0.000 0.147 1
W2 0.000 0.000 0.427 1
# Energy relative to the lowest polymorph listed for this composition: 143 meV/atom



Entry 2:
# PBE Os3W, optimized geometry
data_Os3W
_chemical_formula_sum 'Os6 W2'
_cell_length_a 9.140
_cell_length_b 2.763
_cell_length_c 4.766
_cell_angle_alpha 90.00
_cell_angle_beta 100.05
_cell_angle_gamma 90.00
_space_group_name_H-M_alt 'C 1 2/m 1'
_space_group_IT_number 12
loop_
_space_group_symop_operation_xyz
'x,y,z'
'-x,-y,-z'
'-x,y,-z'
'x,-y,z'
'x+1/2,y+1/2,z'
'-x+1/2,-y+1/2,-z'
'-x+1/2,y+1/2,-z'
'x+1/2,-y+1/2,z'
loop_
_atom_site_label
_atom_site_fract_x
_atom_site_fract_y
_atom_site_fract_z
_atom_site_occupancy
Os1 0.000 0.000 0.000 1
Os2 0.248 0.500 0.241 1
W1 0.000 0.500 0.500 1
# Total energy: -11.57 eV per atom



Entry 3:
# PBE Os3W, optimized geometry
data_Os3W
_chemical_formula_sum 'Os3 W1'
_cell_length_a 2.751
_cell_length_b 2.751
_cell_length_c 7.829
_cell_angle_alpha 90.00
_cell_angle_beta 90.00
_cell_angle_gamma 90.00
_space_group_name_H-M_alt 'P 4/m m m'
_space_group_IT_number 123
_space_group_name_Hall '-P 4 2'
loop_
_atom_site_label
_atom_site_fract_x
_atom_site_fract_y
_atom_site_fract_z
_atom_site_occupancy
Os1 0.000 0.000 0.000 1
Os2 0.500 0.500 0.243 1
W1 0.000 0.000 0.500 1
# Total energy: -11.54 eV per atom



Entry 4:
# PBE OsW, optimized geometry
data_OsW
_chemical_formula_sum 'Os16 W16'
_cell_length_a 6.672
_cell_length_b 8.120
_cell_length_c 10.029
_cell_angle_alpha 90.00
_cell_angle_beta 90.00
_cell_angle_gamma 90.00
_space_group_name_H-M_alt 'F d d d'
_space_group_IT_number 70
loop_
_space_group_symop_operation_xyz
'x,y,z'
'-x,-y,-z'
'-x+1/4,-y+1/4,z'
'x+1/4,y+1/4,-z'
'x,-y+1/4,-z+1/4'
'-x,y+1/4,z+1/4'
'-x+1/4,y,-z+1/4'
'x+1/4,-y,z+1/4'
'x,y+1/2,z+1/2'
'-x,-y+1/2,-z+1/2'
'-x+1/4,-y+3/4,z+1/2'
'x+1/4,y+3/4,-z+1/2'
'x,-y+3/4,-z+3/4'
'-x,y+3/4,z+3/4'
'-x+1/4,y+1/2,-z+3/4'
'x+1/4,-y+1/2,z+3/4'
'x+1/2,y,z+1/2'
'-x+1/2,-y,-z+1/2'
'-x+3/4,-y+1/4,z+1/2'
'x+3/4,y+1/4,-z+1/2'
'x+1/2,-y+1/4,-z+3/4'
'-x+1/2,y+1/4,z+3/4'
'-x+3/4,y,-z+3/4'
'x+3/4,-y,z+3/4'
'x+1/2,y+1/2,z'
'-x+1/2,-y+1/2,-z'
'-x+3/4,-y+3/4,z'
'x+3/4,y+3/4,-z'
'x+1/2,-y+3/4,-z+1/4'
'-x+1/2,y+3/4,z+1/4'
'-x+3/4,y+1/2,-z+1/4'
'x+3/4,-y+1/2,z+1/4'
loop_
_atom_site_label
_atom_site_fract_x
_atom_site_fract_y
_atom_site_fract_z
_atom_site_occupancy
Os1 0.074 0.375 0.375 1
W1 0.125 0.320 0.625 1
# Total energy: -11.23 eV per atom



Entry 5:
# PBE Os3W, optimized geometry
data_Os3W
_chemical_formula_sum 'Os3 W1'
_cell_length_a 3.293
_cell_length_b 3.293
_cell_length_c 5.605
_cell_angle_alpha 90.00
_cell_angle_beta 90.00
_cell_angle_gamma 90.00
_space_group_name_H-M_alt 'P 4/m m m'
_space_group_IT_number 123
_space_group_name_Hall '-P 4 2'
loop_
_atom_site_label
_atom_site_fract_x
_atom_site_fract_y
_atom_site_fract_z
_atom_site_occupancy
Os1 0.000 0.000 0.000 1
Os2 0.500 0.500 0.242 1
W1 0.000 0.000 0.500 1
# Total energy: -11.15 eV per atom



Entry 6:
# PBE OsW3, optimized geometry
data_OsW3
_chemical_formula_sum 'Os1 W3'
_cell_length_a 3.985
_cell_length_b 3.985
_cell_length_c 3.985
_cell_angle_alpha 90.00
_cell_angle_beta 90.00
_cell_angle_gamma 90.00
_space_group_name_H-M_alt 'P m -3 m'
_space_group_IT_number 221
_space_group_name_Hall '-P 4 2 3'
loop_
_atom_site_label
_atom_site_fract_x
_atom_site_fract_y
_atom_site_fract_z
_atom_site_occupancy
Os1 0.000 0.000 0.000 1
W1 0.000 0.500 0.500 1
# Total energy: -12.28 eV per atom



Entry 7:
# PBE Os3W5, optimized geometry
data_Os3W5
_chemical_formula_sum 'Os6 W10'
_cell_length_a 4.989
_cell_length_b 7.100
_cell_length_c 7.612
_cell_angle_alpha 87.32
_cell_angle_beta 76.78
_cell_angle_gamma 75.80
_space_group_name_H-M_alt 'P -1'
_space_group_IT_number 2
loop_
_space_group_symop_operation_xyz
'x,y,z'
'-x,-y,-z'
loop_
_atom_site_label
_atom_site_fract_x
_atom_site_fract_y
_atom_site_fract_z
_atom_site_occupancy
Os1 0.120 0.149 0.493 1
Os2 0.271 0.941 0.977 1
Os3 0.378 0.529 0.861 1
W1 0.022 0.681 0.175 1
W2 0.178 0.285 0.154 1
W3 0.250 0.502 0.500 1
W4 0.341 0.843 0.655 1
W5 0.442 0.832 0.276 1
# Energy relative to the lowest polymorph listed for this composition: 42 meV/atom



Entry 8:
# PBE Os3W, optimized geometry
data_Os3W
_chemical_formula_sum 'Os6 W2'
_cell_length_a 3.881
_cell_length_b 3.881
_cell_length_c 7.848
_cell_angle_alpha 90.00
_cell_angle_beta 90.00
_cell_angle_gamma 90.00
_space_group_name_H-M_alt 'I 4/m m m'
_space_group_IT_number 139
_space_group_name_Hall '-I 4 2'
loop_
_atom_site_label
_atom_site_fract_x
_atom_site_fract_y
_atom_site_fract_z
_atom_site_occupancy
Os1 0.000 0.000 0.000 1
Os2 0.000 0.500 0.250 1
W1 0.000 0.000 0.500 1
# Total energy: -11.62 eV per atom



Entry 9:
# PBE OsW, optimized geometry
data_OsW
_chemical_formula_sum 'Os6 W6'
_cell_length_a 7.3822
_cell_length_b 7.3822
_cell_length_c 4.2977
_cell_angle_alpha 90.00
_cell_angle_beta 90.00
_cell_angle_gamma 120.00
_space_group_name_H-M_alt 'P 63/m'
_space_group_IT_number 176
_space_group_name_Hall '-P 6c'
loop_
_atom_site_label
_atom_site_fract_x
_atom_site_fract_y
_atom_site_fract_z
_atom_site_occupancy
Os1 0.1108 0.4889 0.2500 1
W1 0.0518 0.2595 0.7500 1
# Total energy: -11.59 eV per atom



Entry 10:
# PBE OsW, optimized geometry
data_OsW
_chemical_formula_sum 'Os1 W1'
_cell_length_a 2.811
_cell_length_b 2.811
_cell_length_c 3.862
_cell_angle_alpha 90.00
_cell_angle_beta 90.00
_cell_angle_gamma 90.00
_space_group_name_H-M_alt 'P 4/m m m'
_space_group_IT_number 123
_space_group_name_Hall '-P 4 2'
loop_
_atom_site_label
_atom_site_fract_x
_atom_site_fract_y
_atom_site_fract_z
_atom_site_occupancy
Os1 0.000 0.000 0.000 1
W1 0.500 0.500 0.500 1
# Total energy: -12.03 eV per atom



Entry 11:
# PBE Os3W4, optimized geometry
data_Os3W4
_chemical_formula_sum 'Os3 W4'
_cell_length_a 5.0992
_cell_length_b 5.0992
_cell_length_c 4.9059
_cell_angle_alpha 90.00
_cell_angle_beta 90.00
_cell_angle_gamma 120.00
_space_group_name_H-M_alt 'P 6/m m m'
_space_group_IT_number 191
_space_group_name_Hall '-P 6 2'
loop_
_atom_site_label
_atom_site_fract_x
_atom_site_fract_y
_atom_site_fract_z
_atom_site_occupancy
Os1 0.0000 0.5000 0.0000 1
W1 0.0000 0.0000 0.2556 1
W2 0.3333 0.6667 0.5000 1
# Energy relative to the lowest polymorph listed for this composition: 0 meV/atom



Entry 12:
# PBE Os5W3, optimized geometry
data_Os5W3
_chemical_formula_sum 'Os20 W12'
_cell_length_a 4.896
_cell_length_b 13.157
_cell_length_c 7.887
_cell_angle_alpha 90.00
_cell_angle_beta 101.16
_cell_angle_gamma 90.00
_space_group_name_H-M_alt 'C 1 m 1'
_space_group_IT_number 8
loop_
_space_group_symop_operation_xyz
'x,y,z'
'x,-y,z'
'x+1/2,y+1/2,z'
'x+1/2,-y+1/2,z'
loop_
_atom_site_label
_atom_site_fract_x
_atom_site_fract_y
_atom_site_fract_z
_atom_site_occupancy
Os1 0.000 0.000 0.000 1
Os2 0.058 0.395 0.617 1
Os3 0.092 0.172 0.764 1
Os4 0.252 0.178 0.150 1
Os5 0.267 0.399 0.273 1
Os6 0.442 0.000 0.891 1
W1 0.034 0.000 0.591 1
W2 0.154 0.221 0.451 1
W3 0.193 0.334 0.952 1
W4 0.303 0.000 0.327 1
# Energy relative to the lowest polymorph listed for this composition: 263 meV/atom



Entry 13:
# PBE OsW, optimized geometry
data_OsW
_chemical_formula_sum 'Os6 W6'
_cell_length_a 2.883
_cell_length_b 13.531
_cell_length_c 4.720
_cell_angle_alpha 90.00
_cell_angle_beta 90.00
_cell_angle_gamma 90.00
_space_group_name_H-M_alt 'A m m 2'
_space_group_IT_number 38
loop_
_space_group_symop_operation_xyz
'x,y,z'
'-x,-y,z'
'-x,y,z'
'x,-y,z'
'x,y+1/2,z+1/2'
'-x,-y+1/2,z+1/2'
'-x,y+1/2,z+1/2'
'x,-y+1/2,z+1/2'
loop_
_atom_site_label
_atom_site_fract_x
_atom_site_fract_y
_atom_site_fract_z
_atom_site_occupancy
Os1 0.000 0.000 0.000 1
Os2 0.000 0.174 0.355 1
W1 0.500 0.000 0.491 1
W2 0.500 0.157 0.845 1
# Total energy: -12.01 eV per atom



Entry 14:
# PBE Os5W3, optimized geometry
data_Os5W3
_chemical_formula_sum 'Os10 W6'
_cell_length_a 6.123
_cell_length_b 4.903
_cell_length_c 8.795
_cell_angle_alpha 90.00
_cell_angle_beta 105.82
_cell_angle_gamma 90.00
_space_group_name_H-M_alt 'P 1 21/m 1'
_space_group_IT_number 11
loop_
_space_group_symop_operation_xyz
'x,y,z'
'-x,-y,-z'
'-x,y+1/2,-z'
'x,-y+1/2,z'
loop_
_atom_site_label
_atom_site_fract_x
_atom_site_fract_y
_atom_site_fract_z
_atom_site_occupancy
Os1 0.018 0.250 0.213 1
Os2 0.112 0.250 0.948 1
Os3 0.271 0.750 0.261 1
Os4 0.330 0.001 0.715 1
W1 0.045 0.750 0.453 1
W2 0.390 0.250 0.434 1
W3 0.402 0.750 0.007 1
# Energy relative to the lowest polymorph listed for this composition: 302 meV/atom



Entry 15:
# PBE OsW8, optimized geometry
data_OsW8
_chemical_formula_sum 'Os2 W16'
_cell_length_a 9.511
_cell_length_b 9.511
_cell_length_c 3.181
_cell_angle_alpha 90.00
_cell_angle_beta 90.00
_cell_angle_gamma 90.00
_space_group_name_H-M_alt 'I 4/m m m'
_space_group_IT_number 139
_space_group_name_Hall '-I 4 2'
loop_
_atom_site_label
_atom_site_fract_x
_atom_site_fract_y
_atom_site_fract_z
_atom_site_occupancy
Os1 0.000 0.000 0.000 1
W1 0.000 0.332 0.000 1
W2 0.168 0.168 0.500 1
# Total energy: -12.69 eV per atom



Entry 16:
# PBE OsW3, optimized geometry
data_OsW3
_chemical_formula_sum 'Os2 W6'
_cell_length_a 3.160
_cell_length_b 4.498
_cell_length_c 8.881
_cell_angle_alpha 90.00
_cell_angle_beta 90.00
_cell_angle_gamma 90.00
_space_group_name_H-M_alt 'C m m m'
_space_group_IT_number 65
_space_group_name_Hall '-C 2 2'
loop_
_atom_site_label
_atom_site_fract_x
_atom_site_fract_y
_atom_site_fract_z
_atom_site_occupancy
Os1 0.000 0.000 0.000 1
W1 0.000 0.000 0.500 1
W2 0.000 0.500 0.247 1
# Total energy: -12.34 eV per atom



Entry 17:
# PBE Os7W6, optimized geometry
data_Os7W6
_chemical_formula_sum 'Os21 W18'
_cell_length_a 5.1116
_cell_length_b 5.1116
_cell_length_c 26.9269
_cell_angle_alpha 90.00
_cell_angle_beta 90.00
_cell_angle_gamma 120.00
_space_group_name_H-M_alt 'R -3 m'
_space_group_IT_number 166
_space_group_name_Hall '-R 3 2"'
loop_
_atom_site_label
_atom_site_fract_x
_atom_site_fract_y
_atom_site_fract_z
_atom_site_occupancy
Os1 0.0000 0.0000 0.0000 1
Os2 0.0070 0.5035 0.4119 1
W1 0.0000 0.0000 0.1641 1
W2 0.0000 0.0000 0.3493 1
W3 0.0000 0.0000 0.4527 1
# Total energy: -11.83 eV per atom



Entry 18:
# PBE Os4W3, optimized geometry
data_Os4W3
_chemical_formula_sum 'Os8 W6'
_cell_length_a 3.221
_cell_length_b 3.221
_cell_length_c 20.892
_cell_angle_alpha 90.00
_cell_angle_beta 90.00
_cell_angle_gamma 90.00
_space_group_name_H-M_alt 'I 4/m m m'
_space_group_IT_number 139
_space_group_name_Hall '-I 4 2'
loop_
_atom_site_label
_atom_site_fract_x
_atom_site_fract_y
_atom_site_fract_z
_atom_site_occupancy
Os1 0.000 0.000 0.066 1
Os2 0.000 0.000 0.353 1
W1 0.000 0.000 0.211 1
W2 0.000 0.000 0.500 1
# Energy relative to the lowest polymorph listed for this composition: 0 meV/atom



Entry 19:
# PBE OsW3, optimized geometry
data_OsW3
_chemical_formula_sum 'Os3 W9'
_cell_length_a 2.7974
_cell_length_b 2.7974
_cell_length_c 28.2111
_cell_angle_alpha 90.00
_cell_angle_beta 90.00
_cell_angle_gamma 120.00
_space_group_name_H-M_alt 'R -3 m'
_space_group_IT_number 166
_space_group_name_Hall '-R 3 2"'
loop_
_atom_site_label
_atom_site_fract_x
_atom_site_fract_y
_atom_site_fract_z
_atom_site_occupancy
Os1 0.0000 0.0000 0.0000 1
W1 0.0000 0.0000 0.2540 1
W2 0.0000 0.0000 0.5000 1
# Total energy: -12.25 eV per atom



Entry 20:
# PBE Os3W5, optimized geometry
data_Os3W5
_chemical_formula_sum 'Os6 W10'
_cell_length_a 7.871
_cell_length_b 7.910
_cell_length_c 3.997
_cell_angle_alpha 90.00
_cell_angle_beta 90.00
_cell_angle_gamma 90.00
_space_group_name_H-M_alt 'C m m m'
_space_group_IT_number 65
_space_group_name_Hall '-C 2 2'
loop_
_atom_site_label
_atom_site_fract_x
_atom_site_fract_y
_atom_site_fract_z
_atom_site_occupancy
Os1 0.000 0.000 0.000 1
Os2 0.246 0.500 0.500 1
W1 0.000 0.237 0.500 1
W2 0.000 0.500 0.000 1
W3 0.250 0.250 0.000 1
# Energy relative to the lowest polymorph listed for this composition: 0 meV/atom